(1)
{
  "formula": "SrAc15Sm4",
  "functional": "PBE-GGA",
  "state": "optimized geometry",
  "cell": [[5.5670, 0.0000, 0.0000], [0.0000, 5.5670, 0.0000], [0.0000, 0.0000, 27.7124]],
  "species": ["Sr", "Ac", "Ac", "Ac", "Ac", "Ac", "Ac", "Ac", "Ac", "Ac", "Ac", "Ac", "Ac", "Ac", "Ac", "Ac", "Sm", "Sm", "Sm", "Sm"],
  "frac_coords": [[0.0000, 0.0000, 0.0000], [0.0000, 0.5000, 0.1059], [0.0000, 0.5000, 0.3024], [0.0000, 0.5000, 0.5000], [0.0000, 0.5000, 0.6976], [0.0000, 0.5000, 0.8941], [0.5000, 0.0000, 0.1059], [0.5000, 0.0000, 0.3024], [0.5000, 0.0000, 0.5000], [0.5000, 0.0000, 0.6976], [0.5000, 0.0000, 0.8941], [0.5000, 0.5000, 0.0000], [0.5000, 0.5000, 0.2035], [0.5000, 0.5000, 0.4008], [0.5000, 0.5000, 0.5992], [0.5000, 0.5000, 0.7965], [0.0000, 0.0000, 0.2028], [0.0000, 0.0000, 0.4013], [0.0000, 0.0000, 0.5987], [0.0000, 0.0000, 0.7972]],
  "space_group": "P4/mmm (123)",
  "total_magnetization_mub_per_fu": 0.00,
  "formation_enthalpy_0k_ev_per_atom": 0.0353,
  "energy_ev_per_cell": -81.48
}

---

(2)
{
  "formula": "Ba2TlP",
  "functional": "PBE-GGA",
  "state": "optimized geometry",
  "cell": [[4.1265, 0.0000, 0.0000], [0.0000, 4.1378, 0.0000], [-0.0108, 0.0000, 8.0508]],
  "species": ["Ba", "Ba", "Tl", "P"],
  "frac_coords": [[0.0010, 0.0000, 0.2916], [0.9990, 0.0000, 0.7084], [0.5000, 0.5000, 0.0000], [0.5000, 0.5000, 0.5000]],
  "space_group": "P2/m (10)",
  "total_magnetization_mub_per_fu": 0.00,
  "formation_enthalpy_0k_ev_per_atom": -0.6298,
  "energy_ev_per_cell": -14.14,
  "polymorph_energy_ev_per_fu": 0.00
}

---

(3)
{
  "formula": "CaTm2Cd9",
  "functional": "PBE-GGA",
  "state": "optimized geometry",
  "cell": [[4.6258, 0.0000, 0.0000], [0.0000, 4.6258, 0.0000], [0.0000, 0.0000, 13.5288]],
  "species": ["Ca", "Tm", "Tm", "Cd", "Cd", "Cd", "Cd", "Cd", "Cd", "Cd", "Cd", "Cd"],
  "frac_coords": [[0.0000, 0.0000, 0.0000], [0.0000, 0.0000, 0.3358], [0.0000, 0.0000, 0.6642], [0.0000, 0.5000, 0.1724], [0.0000, 0.5000, 0.5000], [0.0000, 0.5000, 0.8276], [0.5000, 0.0000, 0.1724], [0.5000, 0.0000, 0.5000], [0.5000, 0.0000, 0.8276], [0.5000, 0.5000, 0.0000], [0.5000, 0.5000, 0.3374], [0.5000, 0.5000, 0.6626]],
  "space_group": "P4/mmm (123)",
  "total_magnetization_mub_per_fu": 0.00,
  "formation_enthalpy_0k_ev_per_atom": -0.2292,
  "energy_ev_per_cell": -21.93
}

---

(4)
{
  "formula": "Dy2Al5Fe2Cu",
  "functional": "PBE-GGA",
  "state": "optimized geometry",
  "cell": [[9.1616, 0.0000, 0.0000], [0.0000, 9.1616, 0.0000], [0.0000, 0.0000, 4.1195]],
  "species": ["Dy", "Dy", "Dy", "Dy", "Al", "Al", "Al", "Al", "Al", "Al", "Al", "Al", "Al", "Al", "Fe", "Fe", "Fe", "Fe", "Cu", "Cu"],
  "frac_coords": [[0.1886, 0.3114, 0.0000], [0.3114, 0.8114, 0.0000], [0.6886, 0.1886, 0.0000], [0.8114, 0.6886, 0.0000], [0.0000, 0.5000, 0.5000], [0.0572, 0.7902, 0.5000], [0.2098, 0.0572, 0.5000], [0.2902, 0.5572, 0.5000], [0.4428, 0.2902, 0.5000], [0.5000, 0.0000, 0.5000], [0.5572, 0.7098, 0.5000], [0.7098, 0.4428, 0.5000], [0.7902, 0.9428, 0.5000], [0.9428, 0.2098, 0.5000], [0.0993, 0.5993, 0.0000], [0.4007, 0.0993, 0.0000], [0.5993, 0.9007, 0.0000], [0.9007, 0.4007, 0.0000], [0.0000, 0.0000, 0.0000], [0.5000, 0.5000, 0.0000]],
  "space_group": "P4/mbm (127)",
  "total_magnetization_mub_per_fu": 2.84,
  "formation_enthalpy_0k_ev_per_atom": -0.2549,
  "energy_ev_per_cell": -102.98
}

---

(5)
{
  "formula": "NdTlPtRh",
  "functional": "PBE-GGA",
  "state": "optimized geometry",
  "cell": [[6.9182, 0.0000, 0.0000], [0.0000, 6.9182, 0.0000], [0.0000, 0.0000, 6.9182]],
  "species": ["Nd", "Nd", "Nd", "Nd", "Tl", "Tl", "Tl", "Tl", "Pt", "Pt", "Pt", "Pt", "Rh", "Rh", "Rh", "Rh"],
  "frac_coords": [[0.0000, 0.0000, 0.0000], [0.0000, 0.5000, 0.5000], [0.5000, 0.0000, 0.5000], [0.5000, 0.5000, 0.0000], [0.0000, 0.0000, 0.5000], [0.0000, 0.5000, 0.0000], [0.5000, 0.0000, 0.0000], [0.5000, 0.5000, 0.5000], [0.2500, 0.2500, 0.7500], [0.2500, 0.7500, 0.2500], [0.7500, 0.2500, 0.2500], [0.7500, 0.7500, 0.7500], [0.2500, 0.2500, 0.2500], [0.2500, 0.7500, 0.7500], [0.7500, 0.2500, 0.7500], [0.7500, 0.7500, 0.2500]],
  "space_group": "F-43m (216)",
  "total_magnetization_mub_per_fu": 0.00,
  "formation_enthalpy_0k_ev_per_atom": -0.4880,
  "energy_ev_per_cell": -89.91
}

---

(6)
{
  "formula": "TaSbTe2",
  "functional": "PBE-GGA",
  "state": "optimized geometry",
  "cell": [[3.4753, 0.0000, 0.0000], [0.0000, 3.4753, 0.0000], [0.0000, 0.0000, 8.0216]],
  "species": ["Ta", "Sb", "Te", "Te"],
  "frac_coords": [[0.0000, 0.0000, 0.0000], [0.0000, 0.0000, 0.5000], [0.5000, 0.5000, 0.2038], [0.5000, 0.5000, 0.7962]],
  "space_group": "P4/mmm (123)",
  "total_magnetization_mub_per_fu": 0.00,
  "energy_ev_per_cell": -21.96,
  "formation_energy_uncorrected_ev_per_atom": 0.0737
}

---

(7)
{
  "formula": "NaTa2BeZn",
  "functional": "PBE-GGA",
  "state": "optimized geometry",
  "cell": [[4.7039, 0.0000, 0.0000], [0.0000, 4.7039, 0.0000], [0.0000, 0.0000, 4.1299]],
  "species": ["Na", "Ta", "Ta", "Be", "Zn"],
  "frac_coords": [[0.0000, 0.0000, 0.0000], [0.0000, 0.5000, 0.0000], [0.5000, 0.0000, 0.0000], [0.0000, 0.0000, 0.5000], [0.5000, 0.5000, 0.5000]],
  "space_group": "P4/mmm (123)",
  "total_magnetization_mub_per_fu": 0.00,
  "formation_enthalpy_0k_ev_per_atom": 2.1526,
  "energy_ev_per_cell": -19.26
}

---

(8)
{
  "formula": "Ac4TmSe7",
  "functional": "PBE-GGA",
  "state": "optimized geometry",
  "cell": [[7.2223, -2.1472, 0.0000], [7.2223, 2.1472, 0.0000], [-3.3443, 0.0000, 12.1712]],
  "species": ["Ac", "Ac", "Ac", "Ac", "Tm", "Se", "Se", "Se", "Se", "Se", "Se", "Se"],
  "frac_coords": [[0.0000, 0.0000, 0.0000], [0.2025, 0.2025, 0.7697], [0.5976, 0.5976, 0.3727], [0.8969, 0.8969, 0.5557], [0.7747, 0.7747, 0.1368], [0.1707, 0.1707, 0.2140], [0.2358, 0.2358, 0.5171], [0.3622, 0.3622, 0.0497], [0.5585, 0.5585, 0.6169], [0.6313, 0.6313, 0.9290], [0.8570, 0.8570, 0.7791], [0.9326, 0.9326, 0.3254]],
  "space_group": "Cm (8)",
  "total_magnetization_mub_per_fu": 0.00,
  "energy_ev_per_cell": -68.81,
  "formation_energy_uncorrected_ev_per_atom": -1.9593
}

---

(9)
{
  "formula": "B2PSe",
  "functional": "PBE-GGA",
  "state": "optimized geometry",
  "cell": [[5.7147, 0.0000, 0.0000], [0.0000, 5.7147, 0.0000], [0.0000, 0.0000, 5.7147]],
  "species": ["B", "B", "B", "B", "B", "B", "B", "B", "P", "P", "P", "P", "Se", "Se", "Se", "Se"],
  "frac_coords": [[0.2500, 0.2500, 0.2500], [0.2500, 0.2500, 0.7500], [0.2500, 0.7500, 0.2500], [0.2500, 0.7500, 0.7500], [0.7500, 0.2500, 0.2500], [0.7500, 0.2500, 0.7500], [0.7500, 0.7500, 0.2500], [0.7500, 0.7500, 0.7500], [0.0000, 0.0000, 0.0000], [0.0000, 0.5000, 0.5000], [0.5000, 0.0000, 0.5000], [0.5000, 0.5000, 0.0000], [0.0000, 0.0000, 0.5000], [0.0000, 0.5000, 0.0000], [0.5000, 0.0000, 0.0000], [0.5000, 0.5000, 0.5000]],
  "space_group": "Fm-3m (225)",
  "total_magnetization_mub_per_fu": 0.00,
  "energy_ev_per_cell": -62.34,
  "formation_energy_uncorrected_ev_per_atom": 1.6658,
  "polymorph_energy_ev_per_fu": 5.84
}

---

(10)
{
  "formula": "Ca6CdGa5",
  "functional": "PBE-GGA",
  "state": "optimized geometry",
  "cell": [[5.2182, 0.0000, 0.0000], [0.0000, 7.4315, 0.0000], [-2.5215, 0.0000, 7.8406]],
  "species": ["Ca", "Ca", "Ca", "Ca", "Ca", "Ca", "Cd", "Ga", "Ga", "Ga", "Ga", "Ga"],
  "frac_coords": [[0.0000, 0.2418, 0.0000], [0.0000, 0.7582, 0.0000], [0.3307, 0.2460, 0.6609], [0.3307, 0.7540, 0.6609], [0.6693, 0.2460, 0.3391], [0.6693, 0.7540, 0.3391], [0.5000, 0.5000, 0.0000], [0.1628, 0.5000, 0.3282], [0.1655, 0.0000, 0.3319], [0.5000, 0.0000, 0.0000], [0.8345, 0.0000, 0.6681], [0.8372, 0.5000, 0.6718]],
  "space_group": "P2/m (10)",
  "total_magnetization_mub_per_fu": 0.00,
  "formation_enthalpy_0k_ev_per_atom": -0.4252,
  "energy_ev_per_cell": -33.16
}

---

(11)
{
  "formula": "HPdSe",
  "functional": "PBE-GGA",
  "state": "optimized geometry",
  "cell": [[7.3662, 0.0000, 0.0000], [0.0000, 4.1734, 0.0000], [-2.4288, 0.0000, 3.7898]],
  "species": ["H", "H", "Pd", "Pd", "Se", "Se"],
  "frac_coords": [[0.0000, 0.0000, 0.0000], [0.5000, 0.5000, 0.0000], [0.1572, 0.0000, 0.4770], [0.6572, 0.5000, 0.4770], [0.3576, 0.5000, 0.5708], [0.8576, 0.0000, 0.5708]],
  "space_group": "Cm (8)",
  "total_magnetization_mub_per_fu": 0.00,
  "energy_ev_per_cell": -24.03,
  "polymorph_energy_ev_per_fu": 0.39
}

---

(12)
{
  "formula": "Mg3SbN",
  "functional": "PBE-GGA",
  "state": "optimized geometry",
  "cell": [[-2.9347, 2.9347, 5.8925], [2.9347, -2.9347, 5.8925], [2.9347, 2.9347, -5.8925]],
  "species": ["Mg", "Mg", "Mg", "Mg", "Mg", "Mg", "Sb", "Sb", "N", "N"],
  "frac_coords": [[0.1371, 0.1371, 0.0000], [0.3677, 0.6206, 0.7471], [0.3794, 0.1265, 0.7471], [0.3794, 0.6323, 0.2529], [0.8629, 0.8629, 0.0000], [0.8735, 0.6206, 0.2529], [0.6023, 0.1023, 0.5000], [0.8977, 0.3977, 0.5000], [0.2500, 0.7500, 0.5000], [0.5000, 0.5000, 0.0000]],
  "space_group": "I-4m2 (119)",
  "total_magnetization_mub_per_fu": 0.24,
  "energy_ev_per_cell": -34.61,
  "formation_energy_uncorrected_ev_per_atom": -0.0152
}